# 1
Here is an optimized crystal structure of AcCN4 from Alexandria. Energies are from PBE.

## Properties
- formation energy without anion corrections (eV/atom) = 0.389
- relative energy among the computed polymorphs (eV per formula unit) = 5.12
- space group = I4_1/amd

The structure in POSCAR format:
```
AcCN4
1.0
-2.308 2.308 6.921
2.308 -2.308 6.921
2.308 2.308 -6.921
Ac C N
2 2 8
direct
0.375 0.625 0.750
0.625 0.375 0.250
0.125 0.875 0.250
0.875 0.125 0.750
0.127 0.209 0.918
0.209 0.127 0.418
0.209 0.790 0.082
0.210 0.791 0.418
0.790 0.209 0.582
0.791 0.210 0.918
0.791 0.873 0.582
0.873 0.791 0.082
```

---

# 2
Here is an optimized crystal structure of SmDyEr2Hg4 from Alexandria. Energies are from PBE.

## Properties
- DFT total energy (eV per atom) = -2.931
- space group = R-3m

The structure in POSCAR format:
```
SmDyEr2Hg4
1.0
2.633 1.520 8.619
-2.633 1.520 8.619
0.000 -3.041 8.619
Sm Dy Er Hg
1 1 2 4
direct
0.000 0.000 0.000
0.500 0.500 0.500
0.250 0.250 0.250
0.750 0.750 0.750
0.126 0.126 0.126
0.376 0.376 0.376
0.624 0.624 0.624
0.874 0.874 0.874
```

---

# 3
Here is an optimized crystal structure of SrCu2Pb from Alexandria. Energies are from PBE.

## Properties
- DFT total energy (eV per atom) = -3.221
- space group = F-43m

The structure in POSCAR format:
```
SrCu2Pb
1.0
0.000 3.561 3.561
3.561 0.000 3.561
3.561 3.561 0.000
Sr Cu Pb
1 2 1
direct
0.000 0.000 0.000
0.500 0.500 0.500
0.750 0.750 0.750
0.250 0.250 0.250
```

---

# 4
Here is an optimized crystal structure of NbCd2N2 from Alexandria. Energies are from PBE.

## Properties
- formation energy without anion corrections (eV/atom) = 0.285
- relative energy among the computed polymorphs (eV per formula unit) = 0.00
- space group = P4/mbm

The structure in POSCAR format:
```
NbCd2N2
1.0
5.933 0.000 0.000
0.000 5.933 0.000
0.000 0.000 4.526
Nb Cd N
2 4 4
direct
0.000 0.000 0.000
0.500 0.500 0.000
0.179 0.321 0.500
0.321 0.821 0.500
0.679 0.179 0.500
0.821 0.679 0.500
0.240 0.260 0.000
0.260 0.760 0.000
0.740 0.240 0.000
0.760 0.740 0.000
```